# 1
Tb3Y2Tm4 | PBE | relaxed

Offset from the most stable computed form   0.0 kJ per mole of atoms
D(E_F)   24.04 states/eV per cell
Calculated volume   31.13 A^3/atom
Formation enthalpy at 0 K   0.02 eV per atom
Spin magnetization   0.00 μB/f.u.

a b c (Å): 14.9753 4.9875 7.8978
angles (deg): 90.00 108.23 90.00
Closest atoms and distances in Å follow each position.
Space group C2/m (No. 12)
Asymmetric unit:
Tb: 0.0000 0.0000 0.0000 [2 per cell]  4 Y 3.52, 6 Tm 3.54, 2 Tb 3.54
Tb: 0.1124 0.0000 0.6671 [4 per cell]  6 Tm 3.51-3.53, 2 Tb 3.54-3.57, 4 Y 3.54-3.55
Y: 0.0562 0.5000 0.3320 [4 per cell]  5 Tm 3.52-3.55, 6 Tb 3.52-3.55, 1 Y 3.56
Tm: 0.1675 0.5000 0.9992 [4 per cell]  5 Tm 3.50-3.53, 5 Tb 3.52-3.54, 2 Y 3.53-3.55
Tm: 0.2223 0.0000 0.3321 [4 per cell]  5 Tm 3.50-3.54, 4 Tb 3.51-3.54, 3 Y 3.52-3.54

# 2
BaV2NiS8 | PBE | relaxed

D(E_F)   1.68 states/eV per cell
Calculated volume   22.17 A^3/atom
Electronic total energy   -200.984 eV/cell
Spin magnetization   0.00 μB/f.u.

a b c (Å): 5.9357 5.9357 26.1607
angles (deg): 90.00 90.00 120.00
Closest atoms and distances in Å follow each position.
Space group R-3 (No. 148, hexagonal axes)
Asymmetric unit:
Ba: 0.0000 0.0000 0.0000 [3 per cell]  12 S 3.44-3.60
V: 0.0000 0.0000 0.2412 [6 per cell]  4 S 2.13-2.17
Ni: 0.0000 0.0000 0.5000 [3 per cell]  6 S 2.30
S: 0.0000 0.0000 0.3227 [6 per cell]  1 V 2.13
S: 0.0095 0.6935 0.5525 [18 per cell]  1 V 2.17, 1 Ni 2.30

# 3
TaReAu2 | PBE | relaxed

Offset from the most stable computed form   22.3 kJ per mole of atoms
D(E_F)   10.45 states/eV per cell
Calculated volume   17.23 A^3/atom
Formation enthalpy at 0 K   0.34 eV per atom
Spin magnetization   0.00 μB/f.u.

a b c (Å): 6.5089 6.5089 6.5089
angles (deg): 90.00 90.00 90.00
Closest atoms and distances in Å follow each position.
Space group F-43m (No. 216)
Asymmetric unit:
Ta: 0.0000 0.0000 0.0000 [4 per cell]  4 Re 2.82, 4 Au 2.82
Re: 0.2500 0.2500 0.7500 [4 per cell]  4 Ta 2.82, 4 Au 2.82
Au: 0.0000 0.0000 0.5000 [4 per cell]  4 Re 2.82, 4 Au 2.82
Au: 0.2500 0.2500 0.2500 [4 per cell]  4 Ta 2.82, 4 Au 2.82

# 4
Sc6ZnRh2 | PBE | relaxed

D(E_F)   34.83 states/eV per cell
Calculated volume   20.54 A^3/atom
Formation enthalpy at 0 K   -0.54 eV per atom
Spin magnetization   0.00 μB/f.u.

a b c (Å): 8.7453 8.7670 9.6446
angles (deg): 90.00 90.00 90.00
Closest atoms and distances in Å follow each position.
Space group Immm (No. 71)
Asymmetric unit:
Sc: 0.0000 0.2043 0.1713 [8 per cell]  3 Rh 2.57-2.84
Sc: 0.1806 0.2196 0.5000 [8 per cell]  3 Rh 2.80-2.83, 1 Zn 2.92
Sc: 0.1961 0.5000 0.2586 [8 per cell]  2 Rh 2.62-2.90, 1 Zn 2.89
Zn: 0.0000 0.5000 0.0000 [2 per cell]  8 Sc 3.03-3.07
Zn: 0.0000 0.5000 0.5000 [2 per cell]  8 Sc 2.89-2.92, 2 Rh 2.92
Rh: 0.0000 0.0000 0.3617 [4 per cell]  6 Sc 2.57-2.83, 1 Rh 2.67
Rh: 0.1665 0.0000 0.0000 [4 per cell]  8 Sc 2.62-2.84, 1 Rh 2.91, 1 Zn 2.92

# 5
La3PrPt8 | PBE | relaxed

D(E_F)   9.57 states/eV per cell
Calculated volume   20.18 A^3/atom
Formation enthalpy at 0 K   -1.08 eV per atom
Spin magnetization   0.00 μB/f.u.

a b c (Å): 5.5514 5.5514 27.2228
angles (deg): 90.00 90.00 120.00
Closest atoms and distances in Å follow each position.
Space group R3m (No. 160, hexagonal axes)
Asymmetric unit:
La: 0.0000 0.0000 0.0000 [3 per cell]  12 Pt 3.25-3.26, 4 La 3.40-3.41
La: 0.0000 0.0000 0.1253 [3 per cell]  12 Pt 3.25-3.26, 3 Pr 3.40, 1 La 3.41
La: 0.0000 0.0000 0.6251 [3 per cell]  12 Pt 3.26, 3 La 3.40, 1 Pr 3.40
Pr: 0.0000 0.0000 0.5001 [3 per cell]  12 Pt 3.25, 4 La 3.40
Pt: 0.0000 0.0000 0.3127 [3 per cell]  6 Pt 2.78
Pt: 0.0000 0.0000 0.8127 [3 per cell]  6 Pt 2.77
Pt: 0.0003 0.5001 0.0629 [9 per cell]  6 Pt 2.77-2.78
Pt: 0.9998 0.4999 0.5624 [9 per cell]  6 Pt 2.77-2.78

# 6
LiCdPdPt | PBE | relaxed

D(E_F)   2.05 states/eV per cell
Calculated volume   15.92 A^3/atom
Formation enthalpy at 0 K   -0.44 eV per atom
Spin magnetization   0.00 μB/f.u.

a b c (Å): 4.0585 4.0585 7.7338
angles (deg): 90.00 90.00 90.00
Closest atoms and distances in Å follow each position.
Space group I-4m2 (No. 119)
Asymmetric unit:
Li: 0.0000 0.0000 0.0000 [2 per cell]  4 Pd 2.80, 4 Pt 2.80, 4 Cd 2.87
Cd: 0.0000 0.0000 0.5000 [2 per cell]  4 Pd 2.80, 4 Pt 2.80, 4 Li 2.87
Pd: 0.0000 0.5000 0.7500 [2 per cell]  4 Cd 2.80, 4 Li 2.80, 4 Pt 2.87
Pt: 0.0000 0.5000 0.2500 [2 per cell]  4 Cd 2.80, 4 Li 2.80, 4 Pd 2.87

# 7
In2TcSb | PBE | relaxed

D(E_F)   9.34 states/eV per cell
Calculated volume   23.92 A^3/atom
Electronic total energy   -38.551 eV/cell
Spin magnetization   0.00 μB/f.u.

a b c (Å): 3.1601 4.6186 13.1139
angles (deg): 90.00 90.00 90.00
Closest atoms and distances in Å follow each position.
Space group Imm2 (No. 44)
Asymmetric unit:
In: 0.0000 0.0000 0.0000 [2 per cell]  2 Tc 2.91, 4 In 3.16-3.24
In: 0.0000 0.5000 0.1736 [2 per cell]  4 Tc 2.80
Tc: 0.0000 0.5000 0.6860 [2 per cell]  2 Sb 2.70, 6 In 2.80-2.91
Sb: 0.0000 0.0000 0.3526 [2 per cell]  2 Tc 2.70

# 8
SiTc3Te | PBE | relaxed

Offset from the most stable computed form   106.1 kJ per mole of atoms
D(E_F)   4.84 states/eV per cell
Calculated volume   22.65 A^3/atom
Spin magnetization   3.12 μB/f.u.

a b c (Å): 4.8382 4.8382 4.8382
angles (deg): 90.00 90.00 90.00
Closest atoms and distances in Å follow each position.
Space group Pm-3m (No. 221)
Asymmetric unit:
Si: 0.0000 0.0000 0.0000 [1 per cell]  12 Tc 3.42
Tc: 0.0000 0.5000 0.5000 [3 per cell]  2 Te 2.42
Te: 0.5000 0.5000 0.5000 [1 per cell]  6 Tc 2.42

# 9
LaFe2N | PBE | relaxed

D(E_F)   18.82 states/eV per cell
Calculated volume   15.47 A^3/atom
Electronic total energy   -120.482 eV/cell
Spin magnetization   0.00 μB/f.u.

a b c (Å): 4.3978 4.3978 12.7995
angles (deg): 90.00 90.00 90.00
Closest atoms and distances in Å follow each position.
Space group I4_1/amd (No. 141, origin choice 2)
Asymmetric unit:
La: 0.0000 0.2500 0.3750 [4 per cell]  8 Fe 2.93, 4 N 3.11
Fe: 0.0000 0.0000 0.0000 [8 per cell]  2 N 1.94
N: 0.0000 0.2500 0.8750 [4 per cell]  4 Fe 1.94

# 10
NpMn4Re | PBE | relaxed

D(E_F)   44.22 states/eV per cell
Calculated volume   13.52 A^3/atom
Formation enthalpy at 0 K   0.26 eV per atom
Spin magnetization   5.60 μB/f.u.

a b c (Å): 6.8713 6.8713 6.8713
angles (deg): 90.00 90.00 90.00
Closest atoms and distances in Å follow each position.
Space group F-43m (No. 216)
Asymmetric unit:
Np: 0.0000 0.0000 0.0000 [4 per cell]  12 Mn 2.85, 4 Re 2.98
Mn: 0.1244 0.1244 0.3756 [16 per cell]  6 Mn 2.42-2.44
Re: 0.2500 0.2500 0.7500 [4 per cell]  12 Mn 2.85, 4 Np 2.98

# 11
BaAlCd2 | PBE | relaxed

D(E_F)   4.53 states/eV per cell
Calculated volume   29.89 A^3/atom
Formation enthalpy at 0 K   0.02 eV per atom
Spin magnetization   0.00 μB/f.u.

a b c (Å): 5.0296 5.0296 4.7265
angles (deg): 90.00 90.00 90.00
Closest atoms and distances in Å follow each position.
Space group P4/mmm (No. 123)
Asymmetric unit:
Ba: 0.0000 0.0000 0.0000 [1 per cell]  8 Cd 3.45, 4 Al 3.56
Al: 0.5000 0.5000 0.0000 [1 per cell]  8 Cd 3.45, 4 Ba 3.56
Cd: 0.0000 0.5000 0.5000 [2 per cell]  4 Ba 3.45, 4 Al 3.45, 4 Cd 3.56

# 12
Ag2TePd4 | PBE | relaxed

D(E_F)   2.67 states/eV per cell
Calculated volume   18.57 A^3/atom
Electronic total energy   -59.948 eV/cell
Spin magnetization   0.00 μB/f.u.

a b c (Å): 6.6981 6.6981 5.7946
angles (deg): 90.00 90.00 90.00
Closest atoms and distances in Å follow each position.
Space group I4/mmm (No. 139)
Asymmetric unit:
Ag: 0.0000 0.5000 0.0000 [4 per cell]  8 Pd 2.78, 2 Ag 2.90
Te: 0.0000 0.0000 0.0000 [2 per cell]  8 Pd 2.78
Pd: 0.2500 0.2500 0.2500 [8 per cell]  2 Te 2.78, 4 Ag 2.78, 2 Pd 2.90